The following is a GGA-PBE calculation of a relaxed KPmZnCl6 crystal, from Alexandria via LeMat-Bulk.

a = 6.835 Å, b = 6.835 Å, c = 13.828 Å
α = 90.00°, β = 90.00°, γ = 120.00°
Fractional coordinates of all 18 atoms:
1 Cl 0.359 0.975 0.643
2 Cl 0.641 0.616 0.143
3 Cl 0.025 0.384 0.643
4 Cl 0.384 0.025 0.143
5 Cl 0.616 0.641 0.643
6 Cl 0.975 0.359 0.143
7 Cl 0.641 0.025 0.357
8 Cl 0.975 0.616 0.357
9 Cl 0.359 0.384 0.857
10 Cl 0.616 0.975 0.857
11 Cl 0.025 0.641 0.857
12 Cl 0.384 0.359 0.357
13 Pm 0.333 0.667 0.250
14 Pm 0.667 0.333 0.750
15 Zn 0.667 0.333 0.250
16 Zn 0.333 0.667 0.750
17 K 0.000 0.000 0.500
18 K 0.000 0.000 0.000

DFT total energy: -69.06 eV per cell
M_tot: 0.000 μB per formula unit
formation energy (no corrections): -16.3 eV per formula unit
D(E_F): 0.000 states/eV/atom